The following is a DFT calculation (GGA-PBEsol) of a geometry-optimized Sc2AlIn structure.

## Properties
* formation enthalpy at 0 K: -0.4594 eV/atom
* total energy: -5.5305 eV/atom

Lattice parameters (Å, degrees): 3.1134 5.2151 5.2151 107.59 90.00 90.00
Closest atoms and distances in Å follow each position.
Element x y z (fractional)
1 Sc 0.0000 0.5000 0.0000  4 Al 3.04, 4 In 3.04, 4 Sc 3.08-3.11
2 Sc 0.0000 0.0000 0.5000  4 In 3.04, 4 Al 3.04, 4 Sc 3.08-3.11
3 Al 0.5000 0.0000 0.0000  8 Sc 3.04, 2 In 3.08, 2 Al 3.11
4 In 0.5000 0.5000 0.5000  8 Sc 3.04, 2 Al 3.08, 2 In 3.11


The following is a DFT calculation (GGA-PBEsol) of a geometry-optimized Sc2Al2In structure.

## Properties
* formation enthalpy at 0 K: -0.4056 eV/atom
* total energy: -5.2808 eV/atom

Lattice parameters (Å, degrees): 3.3968 7.6110 7.6110 90.00 90.00 90.00
Closest atoms and distances in Å follow each position.
Element x y z (fractional)
1 Sc 0.5000 0.1778 0.6778  6 Al 2.77-2.86
2 Sc 0.5000 0.6778 0.8222  6 Al 2.77-2.86
3 Sc 0.5000 0.8222 0.3222  6 Al 2.77-2.86
4 Sc 0.5000 0.3222 0.1778  6 Al 2.77-2.86
5 Al 0.0000 0.3814 0.8814  1 Al 2.55, 6 Sc 2.77-2.86
6 Al 0.0000 0.8814 0.6186  1 Al 2.55, 6 Sc 2.77-2.86
7 Al 0.0000 0.6186 0.1186  1 Al 2.55, 6 Sc 2.77-2.86
8 Al 0.0000 0.1186 0.3814  1 Al 2.55, 6 Sc 2.77-2.86
9 In 0.0000 0.0000 0.0000  4 Al 3.04, 8 Sc 3.28, 2 In 3.40
10 In 0.0000 0.5000 0.5000  4 Al 3.04, 8 Sc 3.28, 2 In 3.40


The following is a DFT calculation (GGA-PBEsol) of a geometry-optimized Sc2AlIn structure.

## Properties
* formation enthalpy at 0 K: -0.4674 eV/atom
* total energy: -5.5385 eV/atom

Lattice parameters (Å, degrees): 3.1198 4.1571 6.2055 90.00 90.00 90.00
Closest atoms and distances in Å follow each position.
Element x y z (fractional)
1 Sc 0.0000 0.0000 0.7585  4 Sc 3.00-3.21, 4 Al 3.00, 4 In 3.05
2 Sc 0.0000 0.0000 0.2415  4 Sc 3.00-3.21, 4 Al 3.00, 4 In 3.05
3 Al 0.5000 0.5000 0.0000  8 Sc 3.00, 2 In 3.10, 2 Al 3.12
4 In 0.5000 0.5000 0.5000  8 Sc 3.05, 2 Al 3.10, 2 In 3.12


The following is a DFT calculation (GGA-PBEsol) of a geometry-optimized Sc2AlIn structure.

## Properties
* formation enthalpy at 0 K: -0.2755 eV/atom
* total energy: -5.3466 eV/atom

Lattice parameters (Å, degrees): 3.2093 4.9617 5.8181 99.19 90.00 108.87
Closest atoms and distances in Å follow each position.
Element x y z (fractional)
1 Sc 0.7465 0.4931 0.7373  3 Al 2.95-2.96, 3 In 2.98-3.06, 4 Sc 3.20-3.21
2 Sc 0.2535 0.5069 0.2627  3 Al 2.95-2.96, 3 In 2.98-3.06, 4 Sc 3.20-3.21
3 Al 0.0000 0.0000 0.5000  6 Sc 2.95-2.96, 2 Al 3.21
4 In 0.5000 0.0000 0.0000  6 Sc 2.98-3.06, 2 In 3.21, 4 Al 3.32


The following is a DFT calculation (GGA-PBEsol) of a geometry-optimized Sc2AlIn structure.

## Properties
* formation enthalpy at 0 K: -0.4480 eV/atom
* total energy: -5.5191 eV/atom

Lattice parameters (Å, degrees): 3.2586 4.9124 5.0348 90.00 90.00 90.00
Closest atoms and distances in Å follow each position.
Element x y z (fractional)
1 Sc 0.0000 0.0000 0.0783  4 In 2.99, 4 Al 2.99-3.01, 4 Sc 3.21-3.26
2 Sc 0.0000 0.5000 0.6666  4 In 2.96-3.03, 4 Al 2.98, 4 Sc 3.21-3.26
3 Al 0.5000 0.0000 0.5804  8 Sc 2.98-3.01, 2 In 3.19, 2 Al 3.26
4 In 0.5000 0.5000 0.1748  8 Sc 2.96-3.03, 2 Al 3.19, 2 In 3.26


The following is a DFT calculation (GGA-PBEsol) of a geometry-optimized Sc2AlIn structure.

## Properties
* formation enthalpy at 0 K: -0.4739 eV/atom
* total energy: -5.5450 eV/atom

Lattice parameters (Å, degrees): 3.1197 3.1197 8.2725 90.00 90.00 90.00
Closest atoms and distances in Å follow each position.
Element x y z (fractional)
1 Sc 0.0000 0.0000 0.7626  4 Al 2.95, 4 In 3.10, 4 Sc 3.12
2 Sc 0.0000 0.0000 0.2374  4 Al 2.95, 4 In 3.10, 4 Sc 3.12
3 Al 0.5000 0.5000 0.0000  8 Sc 2.95, 4 Al 3.12
4 In 0.5000 0.5000 0.5000  8 Sc 3.10, 4 In 3.12


The following is a DFT calculation (GGA-PBEsol) of a geometry-optimized Sc2AlIn structure.

## Properties
* formation enthalpy at 0 K: -0.4651 eV/atom
* total energy: -5.5362 eV/atom

Lattice parameters (Å, degrees): 4.3938 4.3938 5.2013 114.98 114.98 90.00
Closest atoms and distances in Å follow each position.
Element x y z (fractional)
1 Sc 0.7500 0.2500 0.5000  4 Al 3.03, 4 In 3.03, 4 Sc 3.11
2 Sc 0.2500 0.7500 0.5000  4 Al 3.03, 4 In 3.03, 4 Sc 3.11
3 Al 0.5000 0.5000 0.0000  8 Sc 3.03, 4 In 3.11
4 In 0.0000 0.0000 0.0000  8 Sc 3.03, 4 Al 3.11


The following is a DFT calculation (GGA-PBEsol) of a geometry-optimized AlIn2Se structure.

## Properties
* total energy: -3.4767 eV/atom
* uncorrected formation energy: 0.000 eV/atom

Lattice parameters (Å, degrees): 3.6634 4.9785 4.9785 99.20 90.00 90.00
Closest atoms and distances in Å follow each position.
Element x y z (fractional)
1 Al 0.5000 0.5000 0.5000  8 In 3.09, 2 Se 3.23
2 Se 0.5000 0.0000 0.0000  8 In 3.09, 2 Al 3.23
3 In 0.0000 0.5000 0.0000  4 Al 3.09, 4 Se 3.09, 2 In 3.23
4 In 0.0000 0.0000 0.5000  4 Se 3.09, 4 Al 3.09, 2 In 3.23


The following DOS(E_F) values (in states/eV/f.u.) correspond, in order, to the records above: 3.00, 1.60, 3.51, 2.95, 1.85, 3.01, 3.06, 1.66.